20
Lattice="-3.3393 -6.8759 4.8306 8.7503 -1.4948 -1.7210 -0.8806 7.6833 4.6857" Properties=species:S:1:pos:R:3 comment="K4U3BiS12, relaxed, DFT PBE" energy_ev_per_atom=-5.7250 pbc="T T T"
K 2.2652 -0.3437 3.8976
K -0.4403 3.8416 2.3428
K -1.6696 -3.4380 2.4153
K 4.3751 -0.7474 -0.8605
U -2.1099 0.4037 4.7581
U 2.7055 -4.1854 1.5548
U 3.9349 3.0942 1.4823
Bi 0.0000 0.0000 0.0000
S 2.8799 3.2961 3.8614
S -3.1118 0.5954 7.0175
S -1.1080 0.2120 2.4988
S 1.6505 -3.9835 3.9339
S 3.9902 -6.1728 2.2931
S 1.4208 -2.1980 0.8165
S -0.7572 -1.6890 5.5355
S 5.2876 1.0015 2.2597
S -0.1425 1.9508 5.4993
S 5.8033 4.5635 2.1862
S 4.6729 -2.6383 2.2960
S 2.0664 1.6250 0.7785